The following is a DFT calculation (GGA-PBE) of a relaxed Ce6In5Pd12 crystal.

Properties
- formation energy (eV per atom) = -0.726
- crystal system = hexagonal
- calculated volume (Å³/cell) = 956

Geometry as CIF:
```
data_Ce6In5Pd12
_symmetry_space_group_name_H-M 'P 63/m c m'
_symmetry_Int_Tables_number 193
_symmetry_space_group_name_Hall '-P 6c 2'
_cell_length_a 8.2272
_cell_length_b 8.2272
_cell_length_c 16.3045
_cell_angle_alpha 90.00
_cell_angle_beta 90.00
_cell_angle_gamma 120.00
loop_
_atom_site_label
_atom_site_type_symbol
_atom_site_fract_x
_atom_site_fract_y
_atom_site_fract_z
Ce1 Ce 0.0000 0.2772 0.1220
In1 In 0.0000 0.3668 0.7500
In2 In 0.3333 0.6667 0.0000
Pd1 Pd 0.0000 0.0000 0.0000
Pd2 Pd 0.0000 0.0000 0.2500
Pd3 Pd 0.0000 0.3811 0.5717
Pd4 Pd 0.3333 0.6667 0.1667
```